Record 1
SCAN Sc2ZnHg, single point on PBEsol structure; energy = -28.12 eV/atom; density of states at the Fermi level = 2.41 states/eV/f.u.; SG = Fm-3m; ΔE_f = -0.5840 eV/atom; E above lowest polymorph = 0 meV per atom
1.0
-4.6297 0.1544 -1.2349
-1.3112 -0.9612 -4.5099
-2.3507 -4.0567 -1.0000
Sc Hg Zn
2 1 1
direct
0.7500 0.7500 0.7500
0.2500 0.2500 0.2500
0.5000 0.5000 0.5000
0.0000 0.0000 0.0000

---

Record 2
SCAN Sc2ZnHg, single point on PBEsol structure; energy = -27.71 eV/atom; density of states at the Fermi level = 5.73 states/eV/f.u.; SG = F-43m; ΔE_f = -0.1692 eV/atom; E above lowest polymorph = 415 meV per atom
1.0
-3.4168 3.2677 -0.5772
-2.7739 1.2198 3.6746
0.4527 4.2981 2.0017
Zn Sc Hg
1 2 1
direct
0.2500 0.2500 0.2500
0.7500 0.7500 0.7500
0.0000 0.0000 0.0000
0.5000 0.5000 0.5000